{"formula": "Y4Mg5Zr", "functional": "PBE-GGA", "state": "optimized geometry", "m_tot_mub_per_fu": 0.00, "delta_e_f_mev_per_atom": -56.7, "dos_ef_per_ev_atom": 1.36, "lattice_angstrom": [[3.713, 0.000, 0.000], [0.000, 3.713, 0.000], [0.000, 0.000, 19.046]], "species": ["Y", "Y", "Y", "Y", "Mg", "Mg", "Mg", "Mg", "Mg", "Zr"], "frac_coords": [[0.000, 0.000, 0.104], [0.000, 0.000, 0.311], [0.000, 0.000, 0.689], [0.000, 0.000, 0.896], [0.500, 0.500, 0.000], [0.500, 0.500, 0.207], [0.500, 0.500, 0.413], [0.500, 0.500, 0.587], [0.500, 0.500, 0.793], [0.000, 0.000, 0.500]]}